Record 1
Compound: ThNi2
Source: Alexandria via LeMat-Bulk
Functional: SCAN
Structure: single point on PBEsol structure

Lattice parameters (Å, degrees): 4.0567 4.0567 3.7017 90.00 90.00 120.00
Space group P6/mmm (No. 191)
Asymmetric unit:
Th1 0.0000 0.0000 0.0000 [1 per cell]
Ni1 0.3333 0.6667 0.5000 [2 per cell]

Properties
M_tot = 0.0 Bohr magnetons per cell
D(E_F) = 3.6 states/eV/f.u.
formation enthalpy at 0 K = -0.35 eV/atom
mass density = 11.0 g/cm³

Record 2
Compound: BaCdTe2
Source: Alexandria via LeMat-Bulk
Functional: SCAN
Structure: single point on PBEsol structure

Lattice parameters (Å, degrees): 5.407 5.407 4.205 90.00 90.00 90.00
Space group P4/mmm (No. 123)
Asymmetric unit:
Ba1 0.000 0.000 0.000 [1 per cell]
Cd1 0.500 0.500 0.000 [1 per cell]
Te1 0.000 0.500 0.500 [2 per cell]

Properties
M_tot = 0.0 Bohr magnetons per cell
D(E_F) = 2.1 states/eV/f.u.
mass density = 6.8 g/cm³
uncorrected formation energy = -3.3 eV per formula unit

mass density of number 1 (ThNi2)? 11.0 g/cm³

Which of these has the lowest D(E_F)? BaCdTe2